# RbSrLi2 (GGA-PBE, optimized geometry)
data_RbSrLi2
_chemical_formula_sum 'Rb4 Sr4 Li8'
_cell_length_a 9.616
_cell_length_b 9.616
_cell_length_c 7.804
_cell_angle_alpha 90.00
_cell_angle_beta 90.00
_cell_angle_gamma 90.00
_symmetry_space_group_name_H-M 'P 1'
_symmetry_Int_Tables_number 1
_symmetry_space_group_name_Hall 'P 1'
loop_
_atom_site_label
_atom_site_type_symbol
_atom_site_fract_x
_atom_site_fract_y
_atom_site_fract_z
Rb1 Rb 0.000 0.000 0.000
Rb2 Rb 0.000 0.500 0.250
Rb3 Rb 0.500 0.000 0.750
Rb4 Rb 0.500 0.500 0.500
Sr1 Sr 0.000 0.000 0.500
Sr2 Sr 0.000 0.500 0.750
Sr3 Sr 0.500 0.000 0.250
Sr4 Sr 0.500 0.500 0.000
Li1 Li 0.250 0.250 0.125
Li2 Li 0.250 0.250 0.625
Li3 Li 0.250 0.750 0.375
Li4 Li 0.250 0.750 0.875
Li5 Li 0.750 0.250 0.375
Li6 Li 0.750 0.250 0.875
Li7 Li 0.750 0.750 0.125
Li8 Li 0.750 0.750 0.625
# Formation energy from the elements = 1.2 eV/f.u.
# Raw total energy = -1.323 eV/atom
# Total moment = 0.00 Bohr magnetons per cell
# Fermi-level density of states = 14.25 states/eV/cell
# Crystal system = tetragonal

# RbSrLi3 (GGA-PBE, optimized geometry)
data_RbSrLi3
_chemical_formula_sum 'Rb1 Sr1 Li3'
_cell_length_a 5.928
_cell_length_b 5.928
_cell_length_c 5.928
_cell_angle_alpha 90.00
_cell_angle_beta 90.00
_cell_angle_gamma 90.00
_symmetry_space_group_name_H-M 'P 1'
_symmetry_Int_Tables_number 1
_symmetry_space_group_name_Hall 'P 1'
loop_
_atom_site_label
_atom_site_type_symbol
_atom_site_fract_x
_atom_site_fract_y
_atom_site_fract_z
Rb1 Rb 0.000 0.000 0.000
Sr1 Sr 0.500 0.500 0.500
Li1 Li 0.000 0.000 0.500
Li2 Li 0.000 0.500 0.000
Li3 Li 0.500 0.000 0.000
# Formation energy from the elements = 2.5 eV/f.u.
# Raw total energy = -1.171 eV/atom
# Total moment = 0.00 Bohr magnetons per cell
# Fermi-level density of states = 3.80 states/eV/cell
# Crystal system = cubic

# Rb2SrLi2 (GGA-PBE, optimized geometry)
data_Rb2SrLi2
_chemical_formula_sum 'Rb4 Sr2 Li4'
_cell_length_a 6.454
_cell_length_b 6.454
_cell_length_c 12.921
_cell_angle_alpha 90.00
_cell_angle_beta 90.00
_cell_angle_gamma 90.00
_symmetry_space_group_name_H-M 'P 1'
_symmetry_Int_Tables_number 1
_symmetry_space_group_name_Hall 'P 1'
loop_
_atom_site_label
_atom_site_type_symbol
_atom_site_fract_x
_atom_site_fract_y
_atom_site_fract_z
Rb1 Rb 0.000 0.000 0.139
Rb2 Rb 0.000 0.000 0.861
Rb3 Rb 0.500 0.500 0.361
Rb4 Rb 0.500 0.500 0.639
Sr1 Sr 0.000 0.000 0.500
Sr2 Sr 0.500 0.500 0.000
Li1 Li 0.000 0.500 0.250
Li2 Li 0.000 0.500 0.750
Li3 Li 0.500 0.000 0.250
Li4 Li 0.500 0.000 0.750
# Formation energy from the elements = 1.6 eV/f.u.
# Raw total energy = -1.161 eV/atom
# Total moment = 0.00 Bohr magnetons per cell
# Fermi-level density of states = 6.51 states/eV/cell
# Crystal system = tetragonal

# RbSr2Li (GGA-PBE, optimized geometry)
data_RbSr2Li
_chemical_formula_sum 'Rb3 Sr6 Li3'
_cell_length_a 4.286
_cell_length_b 4.286
_cell_length_c 41.755
_cell_angle_alpha 90.00
_cell_angle_beta 90.00
_cell_angle_gamma 120.00
_symmetry_space_group_name_H-M 'P 1'
_symmetry_Int_Tables_number 1
_symmetry_space_group_name_Hall 'P 1'
loop_
_atom_site_label
_atom_site_type_symbol
_atom_site_fract_x
_atom_site_fract_y
_atom_site_fract_z
Rb1 Rb 0.000 0.000 0.000
Rb2 Rb 0.333 0.667 0.667
Rb3 Rb 0.667 0.333 0.333
Sr1 Sr 0.000 0.000 0.103
Sr2 Sr 0.000 0.000 0.897
Sr3 Sr 0.333 0.667 0.563
Sr4 Sr 0.333 0.667 0.770
Sr5 Sr 0.667 0.333 0.230
Sr6 Sr 0.667 0.333 0.437
Li1 Li 0.000 0.000 0.500
Li2 Li 0.333 0.667 0.167
Li3 Li 0.667 0.333 0.833
# Formation energy from the elements = 0.8 eV/f.u.
# Raw total energy = -1.369 eV/atom
# Total moment = 0.01 Bohr magnetons per cell
# Fermi-level density of states = 12.88 states/eV/cell
# Crystal system = trigonal

# RbSr3Li (GGA-PBE, optimized geometry)
data_RbSr3Li
_chemical_formula_sum 'Rb1 Sr3 Li1'
_cell_length_a 7.294
_cell_length_b 7.294
_cell_length_c 7.294
_cell_angle_alpha 90.00
_cell_angle_beta 90.00
_cell_angle_gamma 90.00
_symmetry_space_group_name_H-M 'P 1'
_symmetry_Int_Tables_number 1
_symmetry_space_group_name_Hall 'P 1'
loop_
_atom_site_label
_atom_site_type_symbol
_atom_site_fract_x
_atom_site_fract_y
_atom_site_fract_z
Rb1 Rb 0.000 0.000 0.000
Sr1 Sr 0.000 0.000 0.500
Sr2 Sr 0.000 0.500 0.000
Sr3 Sr 0.500 0.000 0.000
Li1 Li 0.500 0.500 0.500
# Formation energy from the elements = 4.1 eV/f.u.
# Raw total energy = -0.761 eV/atom
# Total moment = 0.00 Bohr magnetons per cell
# Fermi-level density of states = 6.58 states/eV/cell
# Crystal system = cubic

# Rb2SrLiW (GGA-PBE, optimized geometry)
data_Rb2SrLiW
_chemical_formula_sum 'Rb2 Sr1 Li1 W1'
_cell_length_a 7.046
_cell_length_b 7.046
_cell_length_c 5.607
_cell_angle_alpha 90.00
_cell_angle_beta 90.00
_cell_angle_gamma 90.00
_symmetry_space_group_name_H-M 'P 1'
_symmetry_Int_Tables_number 1
_symmetry_space_group_name_Hall 'P 1'
loop_
_atom_site_label
_atom_site_type_symbol
_atom_site_fract_x
_atom_site_fract_y
_atom_site_fract_z
Rb1 Rb 0.000 0.500 0.000
Rb2 Rb 0.500 0.000 0.000
Sr1 Sr 0.000 0.000 0.500
Li1 Li 0.500 0.500 0.500
W1 W 0.500 0.500 0.000
# Formation energy from the elements = 7.1 eV/f.u.
# Raw total energy = -2.285 eV/atom
# Total moment = 5.23 Bohr magnetons per cell
# Fermi-level density of states = 5.45 states/eV/cell
# Crystal system = tetragonal

# RbSr2LiZn (GGA-PBE, optimized geometry)
data_RbSr2LiZn
_chemical_formula_sum 'Rb1 Sr2 Li1 Zn1'
_cell_length_a 6.386
_cell_length_b 6.386
_cell_length_c 5.554
_cell_angle_alpha 90.00
_cell_angle_beta 90.00
_cell_angle_gamma 90.00
_symmetry_space_group_name_H-M 'P 1'
_symmetry_Int_Tables_number 1
_symmetry_space_group_name_Hall 'P 1'
loop_
_atom_site_label
_atom_site_type_symbol
_atom_site_fract_x
_atom_site_fract_y
_atom_site_fract_z
Rb1 Rb 0.000 0.000 0.000
Sr1 Sr 0.000 0.500 0.500
Sr2 Sr 0.500 0.000 0.500
Li1 Li 0.500 0.500 0.000
Zn1 Zn 0.500 0.500 0.500
# Formation energy from the elements = 0.4 eV/f.u.
# Raw total energy = -1.415 eV/atom
# Total moment = 0.00 Bohr magnetons per cell
# Fermi-level density of states = 3.94 states/eV/cell
# Crystal system = tetragonal

# RbSrLiZr2 (GGA-PBE, optimized geometry)
data_RbSrLiZr2
_chemical_formula_sum 'Rb1 Sr1 Li1 Zr2'
_cell_length_a 5.455
_cell_length_b 5.455
_cell_length_c 5.075
_cell_angle_alpha 90.00
_cell_angle_beta 90.00
_cell_angle_gamma 90.00
_symmetry_space_group_name_H-M 'P 1'
_symmetry_Int_Tables_number 1
_symmetry_space_group_name_Hall 'P 1'
loop_
_atom_site_label
_atom_site_type_symbol
_atom_site_fract_x
_atom_site_fract_y
_atom_site_fract_z
Rb1 Rb 0.000 0.000 0.000
Sr1 Sr 0.500 0.500 0.500
Li1 Li 0.000 0.000 0.500
Zr1 Zr 0.000 0.500 0.000
Zr2 Zr 0.500 0.000 0.000
# Formation energy from the elements = 7.5 eV/f.u.
# Raw total energy = -2.824 eV/atom
# Total moment = 0.00 Bohr magnetons per cell
# Fermi-level density of states = 5.73 states/eV/cell
# Crystal system = tetragonal